(1)
A crystal of TaTlCu2 relaxed with PBEsol, computed with SCAN.

Geometry as POSCAR:
```
TaTlCu2
1.0
1.466 0.846 8.935
-1.466 0.846 8.935
0.000 -1.693 8.935
Ta Tl Cu
1 1 2
Direct
0.000 0.000 0.000
0.500 0.500 0.500
0.254 0.254 0.254
0.746 0.746 0.746
```

Properties
DOS at the Fermi energy (states/eV/f.u.): 2.19
Distance to the lowest polymorph of the same formula (eV per atom): 0.112
Raw total energy (eV/cell): -167.5
Energy relative to the elements (eV per formula unit): 1.82

---

(2)
A crystal of Ta2TlCu relaxed with PBEsol, computed with SCAN.

Geometry as POSCAR:
```
Ta2TlCu
1.0
3.954 0.000 0.000
0.000 3.954 0.000
0.000 0.000 4.346
Ta Tl Cu
2 1 1
Direct
0.000 0.500 0.000
0.500 0.000 0.000
0.000 0.000 0.500
0.500 0.500 0.500
```

Properties
DOS at the Fermi energy (states/eV/f.u.): 3.10
Raw total energy (eV/cell): -219.6
Energy relative to the elements (eV per formula unit): 1.13

---

(3)
A crystal of Ta2TlCu relaxed with PBEsol, computed with SCAN.

Geometry as POSCAR:
```
Ta2TlCu
1.0
1.788 -2.250 0.000
1.788 2.250 0.000
0.000 0.000 8.752
Ta Tl Cu
2 1 1
Direct
0.000 0.000 0.000
0.500 0.500 0.250
0.500 0.500 0.717
0.000 0.000 0.473
```

Properties
DOS at the Fermi energy (states/eV/f.u.): 1.98
Raw total energy (eV/cell): -219.6
Energy relative to the elements (eV per formula unit): 1.12